No. 1
This record from the Alexandria database describes an optimized crystal structure of Dy4Tm4Sc. The functional is PBE.

POSCAR file:
```
Dy4Tm4Sc
1.0
4.9258 0.0000 0.0000
2.4629 7.4027 0.0000
2.4629 0.0000 7.4027
Dy Tm Sc
4 4 1
direct
0.6694 0.3306 0.3305
0.3306 0.6694 0.6695
0.9999 0.6695 0.3306
0.0001 0.3305 0.6694
0.6647 0.6707 0.9999
0.3353 0.3293 0.0001
0.6646 0.0001 0.6707
0.3354 0.9999 0.3293
0.0000 0.0000 0.0000
```

* E_form: 0.03 eV/atom
* M_tot: 0.00 μB per formula unit

***

No. 2
This record from the Alexandria database describes an optimized crystal structure of Ac2PuGa4Pd3. The functional is PBE.

POSCAR file:
```
Ac2PuGa4Pd3
1.0
-0.9849 2.1511 3.7679
-4.3189 -0.8547 -0.6410
1.0662 -9.7877 5.8665
Ac Pu Ga Pd
2 1 4 3
direct
0.5000 0.0000 0.2323
0.0000 0.5000 0.7677
0.5000 0.5000 0.5000
0.5000 0.5000 0.0000
0.0000 0.0000 0.0000
0.5000 0.0000 0.6656
0.0000 0.5000 0.3344
0.0000 0.0000 0.5000
0.5000 0.0000 0.8851
0.0000 0.5000 0.1149
```

* E_form: -0.61 eV/atom
* M_tot: 5.78 μB per formula unit

***

No. 3
This record from the Alexandria database describes an optimized crystal structure of Sr2HoThS4. The functional is PBE.

POSCAR file:
```
Sr2HoThS4
1.0
4.0407 0.0000 0.0000
0.0000 7.0378 0.1379
0.0000 -2.4461 6.8153
Sr Ho Th S
2 1 1 4
direct
0.5000 0.0000 0.5000
0.0000 0.5000 0.5000
0.0000 0.0000 0.0000
0.5000 0.5000 0.0000
0.5000 0.2371 0.2306
0.5000 0.7629 0.7694
0.0000 0.2471 0.7628
0.0000 0.7529 0.2372
```

* raw formation energy: -1.94 eV per atom
* M_tot: 0.00 μB per formula unit

***

No. 4
This record from the Alexandria database describes an optimized crystal structure of TmScGa. The functional is PBE.

POSCAR file:
```
TmScGa
1.0
4.5376 0.0000 0.0000
0.0000 4.5376 0.0000
0.0000 0.0000 7.1109
Tm Ga Sc
2 2 2
direct
0.0000 0.5000 0.6867
0.5000 0.0000 0.3133
0.5000 0.5000 0.0000
0.0000 0.0000 0.0000
0.5000 0.0000 0.7823
0.0000 0.5000 0.2177
```

* E_form: -0.21 eV/atom
* M_tot: 0.00 μB per formula unit
* energy above the most stable polymorph in this dataset: 68 kJ/mol of formula units